Entry 1:
AcTl6Pb after structural relaxation, computed with PBE-GGA.

ΔE_f: -0.130 eV/atom

abc: 5.6496 7.1670 7.1670
angles: 120.07 90.00 90.00
Atoms (fractional coordinates):
Ac  0.5000  0.1635  0.8365
Tl  0.5000  0.1715  0.3382
Tl  0.5000  0.6618  0.8285
Tl  0.0000  0.3451  0.1824
Tl  0.0000  0.8176  0.6549
Tl  0.0000  0.3397  0.6603
Tl  0.0000  0.8355  0.1645
Pb  0.5000  0.6653  0.3347



Entry 2:
Tc2Os after structural relaxation, computed with PBE-GGA.

Excess energy over the best structure of this formula in the dataset: 7 meV per atom
ΔE_f: -0.058 eV/atom

abc: 2.7565 5.1832 6.4853
angles: 76.72 90.00 105.42
Atoms (fractional coordinates):
Os  0.3892  0.7784  0.7222
Os  0.3330  0.6660  0.3333
Tc  0.9975  0.9950  0.0002
Tc  0.6679  0.3359  0.6664
Tc  0.0543  0.1086  0.3891
Tc  0.7247  0.4495  0.0554



Entry 3:
Ca3PrPb2 after structural relaxation, computed with PBE-GGA.

ΔE_f: -0.507 eV/atom

abc: 5.4281 7.2375 9.7230
angles: 90.00 90.00 90.00
Atoms (fractional coordinates):
Ca  0.0000  0.4887  0.9699
Ca  0.0000  0.9887  0.0301
Ca  0.5000  0.7106  0.1667
Ca  0.5000  0.2106  0.8333
Ca  0.0000  0.2906  0.3255
Ca  0.0000  0.7906  0.6745
Pr  0.5000  0.5112  0.5194
Pr  0.5000  0.0112  0.4806
Pb  0.5000  0.7391  0.8381
Pb  0.5000  0.2391  0.1619
Pb  0.0000  0.2599  0.6577
Pb  0.0000  0.7599  0.3423



Entry 4:
Pm3HPt8 after structural relaxation, computed with PBE-GGA.

Raw total energy: -6.376 eV per atom

abc: 5.4773 5.4773 9.4500
angles: 73.15 73.15 60.00
Atoms (fractional coordinates):
Pm  0.6163  0.6163  0.1512
Pm  0.0082  0.0082  0.9754
Pm  0.4845  0.4845  0.5465
H  0.1914  0.1914  0.4258
Pt  0.5577  0.0507  0.8339
Pt  0.0529  0.5659  0.3283
Pt  0.5577  0.5577  0.8339
Pt  0.0529  0.0529  0.3283
Pt  0.8053  0.8053  0.5840
Pt  0.3065  0.3065  0.0805
Pt  0.0507  0.5577  0.8339
Pt  0.5659  0.0529  0.3283



Entry 5:
Nd2Y15Ho2 after structural relaxation, computed with PBE-GGA.

ΔE_f: 0.304 eV/atom

abc: 8.7865 8.7865 8.7865
angles: 79.42 79.42 79.42
Atoms (fractional coordinates):
Nd  0.1129  0.1129  0.1129
Nd  0.8871  0.8871  0.8871
Y  0.0000  0.0000  0.5000
Y  0.5000  0.0000  0.0000
Y  0.0000  0.5000  0.0000
Y  0.3024  0.6976  0.0000
Y  0.0000  0.3024  0.6976
Y  0.6976  0.0000  0.3024
Y  0.0000  0.6976  0.3024
Y  0.3024  0.0000  0.6976
Y  0.6976  0.3024  0.0000
Y  0.6283  0.6283  0.1530
Y  0.1530  0.6283  0.6283
Y  0.6283  0.1530  0.6283
Y  0.3717  0.3717  0.8470
Y  0.8470  0.3717  0.3717
Y  0.3717  0.8470  0.3717
Ho  0.3237  0.3237  0.3237
Ho  0.6763  0.6763  0.6763



Entry 6:
Dy2Ir2O7 after structural relaxation, computed with PBE-GGA.

Energy relative to the elements, uncorrected: -2.075 eV per atom

abc: 7.2456 7.2456 7.2456
angles: 60.00 60.00 60.00
Last column: magnetic moment on the atom in μB.
Atoms (fractional coordinates):
Dy  0.6250  0.6250  0.6250  0.01
Dy  0.6250  0.6250  0.1250  0.01
Dy  0.6250  0.1250  0.6250  0.01
Dy  0.1250  0.6250  0.6250  0.01
Ir  0.6250  0.1250  0.1250  0.19
Ir  0.1250  0.6250  0.1250  0.19
Ir  0.1250  0.1250  0.6250  0.19
Ir  0.1250  0.1250  0.1250  0.19
O  0.2126  0.2126  0.7874  0.02
O  0.2126  0.7874  0.2126  0.02
O  0.4626  0.0374  0.4626  0.02
O  0.4626  0.4626  0.0374  0.02
O  0.7500  0.7500  0.7500  0.00
O  0.7874  0.2126  0.2126  0.02
O  0.4626  0.0374  0.0374  0.02
O  0.0374  0.4626  0.4626  0.02
O  0.0374  0.0374  0.4626  0.02
O  0.0374  0.4626  0.0374  0.02
O  0.2126  0.7874  0.7874  0.02
O  0.5000  0.5000  0.5000  0.00
O  0.7874  0.2126  0.7874  0.02
O  0.7874  0.7874  0.2126  0.02



Entry 7:
ZnIn4Co after structural relaxation, computed with PBE-GGA.

ΔE_f: 0.656 eV/atom

abc: 5.9127 5.9127 5.9127
angles: 60.00 60.00 60.00
Last column: magnetic moment on the atom in μB.
Atoms (fractional coordinates):
Zn  0.7500  0.7500  0.7500  0.00
In  0.8756  0.3748  0.3748  0.00
In  0.3748  0.3748  0.8756  0.00
In  0.3748  0.8756  0.3748  0.00
In  0.3748  0.3748  0.3748  0.00
Co  0.0000  0.0000  0.0000  1.87



Entry 8:
Ta2CoB2 after structural relaxation, computed with PBE-GGA.

Excess energy over the best structure of this formula in the dataset: 41 meV per atom
ΔE_f: -0.646 eV/atom

abc: 5.7645 5.7645 3.3828
angles: 90.00 90.00 90.00
Last column: magnetic moment on the atom in μB.
Atoms (fractional coordinates):
B  0.3878  0.8878  0.0000  0.00
B  0.8878  0.6122  0.0000  0.00
B  0.6122  0.1122  0.0000  0.00
B  0.1122  0.3878  0.0000  0.00
Co  0.0000  0.0000  0.0000  0.77
Co  0.5000  0.5000  0.0000  0.77
Ta  0.1804  0.6804  0.5000  0.06
Ta  0.6804  0.8196  0.5000  0.06
Ta  0.8196  0.3196  0.5000  0.06
Ta  0.3196  0.1804  0.5000  0.06



Entry 9:
Pm2DyGa4Pt3 after structural relaxation, computed with PBE-GGA.

ΔE_f: -0.882 eV/atom

abc: 4.2393 4.2393 11.6230
angles: 90.00 90.00 90.00
Atoms (fractional coordinates):
Pm  0.5000  0.0000  0.2263
Pm  0.0000  0.5000  0.7737
Dy  0.5000  0.5000  0.5000
Ga  0.5000  0.5000  0.0000
Ga  0.0000  0.0000  0.0000
Ga  0.5000  0.0000  0.6652
Ga  0.0000  0.5000  0.3348
Pt  0.0000  0.0000  0.5000
Pt  0.5000  0.0000  0.8765
Pt  0.0000  0.5000  0.1235



Entry 10:
Cu13Pt2 after structural relaxation, computed with PBE-GGA.

Excess energy over the best structure of this formula in the dataset: 0 meV per atom
ΔE_f: -0.068 eV/atom

abc: 5.7363 6.3939 5.8710
angles: 111.58 83.93 110.26
Atoms (fractional coordinates):
Cu  0.7312  0.5975  0.0627
Cu  0.2688  0.4025  0.9373
Cu  0.0000  0.0000  0.0000
Cu  0.3391  0.0015  0.6720
Cu  0.6609  0.9985  0.3280
Cu  0.0688  0.6028  0.7420
Cu  0.9312  0.3972  0.2580
Cu  0.3963  0.6023  0.3953
Cu  0.6037  0.3977  0.6047
Cu  0.5292  0.7993  0.8710
Cu  0.4708  0.2007  0.1290
Cu  0.7966  0.2017  0.8055
Cu  0.2034  0.7983  0.1945
Pt  0.8623  0.7929  0.5346
Pt  0.1377  0.2071  0.4654



Entry 11:
LaTmFe after structural relaxation, computed with PBE-GGA.

Excess energy over the best structure of this formula in the dataset: 71 meV per atom
ΔE_f: 0.100 eV/atom

abc: 3.3722 3.3722 7.0056
angles: 103.93 103.93 90.00
Last column: magnetic moment on the atom in μB.
Atoms (fractional coordinates):
Tm  0.0454  0.0454  0.0907  -0.11
Fe  0.6615  0.6615  0.3231  0.42
La  0.2931  0.2931  0.5862  -0.07



Entry 12:
ZnSn2Pb after structural relaxation, computed with PBE-GGA.

Excess energy over the best structure of this formula in the dataset: 5 meV per atom
ΔE_f: 0.105 eV/atom

abc: 4.3949 4.3949 7.0861
angles: 71.93 71.93 60.00
Atoms (fractional coordinates):
Zn  0.6669  0.6669  0.9994
Sn  0.0629  0.0629  0.8112
Sn  0.2701  0.2701  0.1898
Pb  0.5001  0.5001  0.4996



no.,spin magnetization (μB per formula unit)
1,0.000
2,0.000
3,0.000
4,0.000
5,0.000
6,0.559
7,1.714
8,0.941
9,0.000
10,0.000
11,0.171
12,0.000